The following is a PBE-GGA calculation of a relaxed structure of SrCr2H, from Alexandria.

Computed properties:
**Crystal system**: tetragonal
**VASP energy**: -21.47 eV/f.u.
**Offset from the most stable computed form**: 0.00 eV/f.u.
**Space-group type**: I4_1/amd (141)

Geometry as extended XYZ:
```
8
Lattice="-0.883 3.517 4.238 -5.027 -2.269 0.835 -1.360 -1.990 5.038" Properties=species:S:1:pos:R:3 pbc="T T T"
Cr -1.300 0.538 2.953
Sr 0.000 0.000 0.000
Cr -3.813 -0.596 3.371
Sr -2.599 1.076 5.907
H -2.955 0.624 2.537
Cr -4.493 -1.591 5.890
H -4.671 -1.817 4.205
Cr -4.935 0.168 8.009
```